Entry from Alexandria via LeMat-Bulk: a geometry-optimized Sn2PtCl structure (PBE-GGA).

Computed properties:
uncorrected formation energy: -0.284 eV/atom
DOS(E_F): 0.48 states/eV per atom
calculated total energy: -34.06 eV/cell

abc: 8.068 8.068 8.068
angles: 134.83 134.83 65.79
Fractional positions:
Sn 0.065 0.625 0.940
Sn 0.375 0.315 0.440
Sn 0.685 0.125 0.060
Sn 0.875 0.935 0.560
Pt 0.000 0.000 0.000
Pt 0.750 0.250 0.500
Cl 0.250 0.750 0.500
Cl 0.500 0.500 0.000

Entry from Alexandria via LeMat-Bulk: a geometry-optimized KCuBiBr5 structure (PBE-GGA).

Computed properties:
uncorrected formation energy: -0.873 eV/atom
calculated total energy: -48.85 eV/cell

abc: 7.833 7.833 10.602
angles: 103.65 103.65 107.20
Fractional positions:
K 0.142 0.858 0.750
K 0.858 0.142 0.250
Cu 0.191 0.809 0.250
Cu 0.809 0.191 0.750
Bi 0.500 0.500 0.000
Bi 0.500 0.500 0.500
Br 0.108 0.250 0.930
Br 0.176 0.589 0.381
Br 0.250 0.108 0.430
Br 0.407 0.593 0.750
Br 0.411 0.824 0.119
Br 0.589 0.176 0.881
Br 0.593 0.407 0.250
Br 0.750 0.892 0.570
Br 0.824 0.411 0.619
Br 0.892 0.750 0.070

Entry from Alexandria via LeMat-Bulk: a geometry-optimized Tb5NpP6 structure (PBE-GGA).

Computed properties:
E_form: -1484 meV/atom
DOS(E_F): 0.98 states/eV per atom
calculated total energy: -86.36 eV/cell

abc: 6.949 6.949 6.948
angles: 99.58 99.58 120.00
Fractional positions:
Tb 0.000 0.000 0.000
Tb 0.166 0.834 0.500
Tb 0.332 0.668 0.000
Tb 0.668 0.332 0.000
Tb 0.834 0.166 0.500
Np 0.500 0.500 0.500
P 0.090 0.418 0.253
P 0.255 0.255 0.746
P 0.418 0.090 0.253
P 0.582 0.910 0.747
P 0.745 0.745 0.254
P 0.910 0.582 0.747

Entry from Alexandria via LeMat-Bulk: a geometry-optimized SrSmInCl6 structure (PBE-GGA).

Computed properties:
uncorrected formation energy: -2.025 eV/atom
DOS(E_F): 0.00 states/eV per atom
calculated total energy: -76.88 eV/cell

abc: 7.440 7.440 13.356
angles: 90.00 90.00 120.00
Fractional positions:
Sr 0.333 0.667 0.250
Sr 0.667 0.333 0.750
Sm 0.333 0.667 0.750
Sm 0.667 0.333 0.250
In 0.000 0.000 0.000
In 0.000 0.000 0.500
Cl 0.020 0.376 0.636
Cl 0.020 0.644 0.864
Cl 0.356 0.376 0.864
Cl 0.356 0.980 0.636
Cl 0.376 0.020 0.136
Cl 0.376 0.356 0.364
Cl 0.624 0.644 0.636
Cl 0.624 0.980 0.864
Cl 0.644 0.020 0.364
Cl 0.644 0.624 0.136
Cl 0.980 0.356 0.136
Cl 0.980 0.624 0.364

Entry from Alexandria via LeMat-Bulk: a geometry-optimized In3Pb4Br12 structure (PBE-GGA).

Computed properties:
uncorrected formation energy: -0.752 eV/atom
DOS(E_F): 1.06 states/eV per atom
calculated total energy: -57.41 eV/cell

abc: 10.002 10.002 10.002
angles: 109.47 109.47 109.47
Fractional positions:
In 0.000 0.500 0.500
In 0.500 0.000 0.500
In 0.500 0.500 0.000
Pb 0.000 0.000 0.500
Pb 0.000 0.500 0.000
Pb 0.500 0.000 0.000
Pb 0.500 0.500 0.500
Br 0.118 0.806 0.312
Br 0.194 0.312 0.506
Br 0.194 0.688 0.882
Br 0.312 0.118 0.806
Br 0.312 0.506 0.194
Br 0.494 0.806 0.688
Br 0.506 0.194 0.312
Br 0.688 0.494 0.806
Br 0.688 0.882 0.194
Br 0.806 0.312 0.118
Br 0.806 0.688 0.494
Br 0.882 0.194 0.688

Entry from Alexandria via LeMat-Bulk: a geometry-optimized RbPuCuSe2 structure (PBE-GGA).

Computed properties:
uncorrected formation energy: -0.857 eV/atom
DOS(E_F): 1.46 states/eV per atom
calculated total energy: -61.30 eV/cell

abc: 8.416 6.024 6.279
angles: 90.00 111.84 90.00
Fractional positions:
Rb 0.000 0.241 0.250
Rb 0.000 0.759 0.750
Pu 0.500 0.500 0.250
Pu 0.500 0.500 0.750
Cu 0.500 0.000 0.000
Cu 0.500 0.000 0.500
Se 0.263 0.236 0.882
Se 0.263 0.764 0.382
Se 0.737 0.236 0.618
Se 0.737 0.764 0.118

Entry from Alexandria via LeMat-Bulk: a geometry-optimized Zr2ScCd structure (PBE-GGA).

Computed properties:
E_form: -52 meV/atom
DOS(E_F): 1.49 states/eV per atom
calculated total energy: -24.55 eV/cell

abc: 5.531 5.531 5.531
angles: 132.77 132.77 69.01
Fractional positions:
Zr 0.000 0.000 0.000
Zr 0.750 0.250 0.500
Sc 0.500 0.500 0.000
Cd 0.250 0.750 0.500

Entry from Alexandria via LeMat-Bulk: a geometry-optimized CaNdMg3 structure (PBE-GGA).

Computed properties:
E_form: 33 meV/atom
DOS(E_F): 1.09 states/eV per atom
calculated total energy: -22.77 eV/cell

abc: 9.023 9.023 5.981
angles: 90.00 90.00 140.09
Fractional positions:
Ca 0.196 0.804 0.750
Ca 0.804 0.196 0.250
Nd 0.442 0.558 0.250
Nd 0.558 0.442 0.750
Mg 0.000 0.000 0.000
Mg 0.000 0.000 0.500
Mg 0.128 0.380 0.750
Mg 0.380 0.128 0.250
Mg 0.620 0.872 0.750
Mg 0.872 0.620 0.250

Entry from Alexandria via LeMat-Bulk: a geometry-optimized Ac2DyRh2I2 structure (PBE-GGA).

Computed properties:
uncorrected formation energy: -0.846 eV/atom
DOS(E_F): 0.59 states/eV per atom
calculated total energy: -36.55 eV/cell

abc: 9.533 9.533 9.533
angles: 148.60 148.60 45.00
Fractional positions:
Ac 0.107 0.107 0.000
Ac 0.893 0.893 0.000
Dy 0.500 0.500 0.000
Rh 0.000 0.500 0.500
Rh 0.500 0.000 0.500
I 0.310 0.310 0.000
I 0.690 0.690 0.000

Entry from Alexandria via LeMat-Bulk: a geometry-optimized BaSi2Hg2 structure (PBE-GGA).

Computed properties:
uncorrected formation energy: -0.082 eV/atom
DOS(E_F): 0.37 states/eV per atom
calculated total energy: -13.78 eV/cell

abc: 6.509 6.509 6.509
angles: 137.26 137.26 62.03
Fractional positions:
Ba 0.000 0.000 0.000
Si 0.250 0.750 0.500
Si 0.750 0.250 0.500
Hg 0.370 0.370 0.000
Hg 0.630 0.630 0.000

Entry from Alexandria via LeMat-Bulk: a geometry-optimized Na2Nd3SmSe6 structure (PBE-GGA).

Computed properties:
uncorrected formation energy: -1.735 eV/atom
DOS(E_F): 0.28 states/eV per atom
calculated total energy: -63.39 eV/cell

abc: 7.310 7.310 7.337
angles: 99.54 99.54 119.96
Fractional positions:
Na 0.166 0.834 0.000
Na 0.834 0.166 0.000
Nd 0.000 0.000 0.500
Nd 0.331 0.669 0.500
Nd 0.669 0.331 0.500
Sm 0.500 0.500 0.000
Se 0.087 0.418 0.753
Se 0.254 0.254 0.251
Se 0.418 0.087 0.753
Se 0.582 0.913 0.247
Se 0.746 0.746 0.749
Se 0.913 0.582 0.247

Entry from Alexandria via LeMat-Bulk: a geometry-optimized Pm2Dy3NpN6 structure (PBE-GGA).

Computed properties:
uncorrected formation energy: -1.521 eV/atom
DOS(E_F): 0.63 states/eV per atom
calculated total energy: -104.45 eV/cell

abc: 6.080 6.080 6.056
angles: 99.62 99.62 120.00
Fractional positions:
Pm 0.167 0.833 0.000
Pm 0.833 0.167 0.000
Dy 0.000 0.000 0.500
Dy 0.333 0.667 0.500
Dy 0.667 0.333 0.500
Np 0.500 0.500 0.000
N 0.105 0.417 0.751
N 0.272 0.272 0.245
N 0.417 0.105 0.751
N 0.583 0.895 0.249
N 0.728 0.728 0.755
N 0.895 0.583 0.249

Going through the records in order, we get total magnetization values of 0.0, 0.1, 3.5, 0.0, 0.0, 6.0, 0.0, 0.0, 0.0, 0.0, 0.0, 2.6 μB per formula unit.